{
  "formula": "MgNiIrPb",
  "functional": "GGA-PBE",
  "state": "optimized geometry",
  "volume_a3_per_cell": 66.4,
  "dft_energy_ev_per_atom": -4.70,
  "crystal_system": "cubic",
  "space_group": "F-43m (216)",
  "lattice": [[0.000, 3.214, 3.214], [3.214, 0.000, 3.214], [3.214, 3.214, 0.000]],
  "species": ["Mg", "Ni", "Ir", "Pb"],
  "fractional_positions": [[0.000, 0.000, 0.000], [0.500, 0.500, 0.500], [0.750, 0.750, 0.750], [0.250, 0.250, 0.250]]
}



{
  "formula": "Pr2Mg4NiIr",
  "functional": "GGA-PBE",
  "state": "optimized geometry",
  "volume_a3_per_cell": 179.9,
  "dft_energy_ev_per_atom": -4.11,
  "crystal_system": "orthorhombic",
  "space_group": "Amm2 (38)",
  "lattice": [[8.331, 0.000, 0.000], [0.000, 2.090, 5.165], [0.000, -2.090, 5.165]],
  "species": ["Pr", "Pr", "Mg", "Mg", "Mg", "Mg", "Ni", "Ir"],
  "fractional_positions": [[0.000, 0.000, 0.000], [0.500, 0.126, 0.126], [0.196, 0.720, 0.720], [0.307, 0.410, 0.410], [0.693, 0.410, 0.410], [0.804, 0.720, 0.720], [0.500, 0.837, 0.837], [0.000, 0.293, 0.293]]
}



{
  "formula": "MgNpIr",
  "functional": "GGA-PBE",
  "state": "optimized geometry",
  "volume_a3_per_cell": 68.6,
  "dft_energy_ev_per_atom": -7.81,
  "crystal_system": "cubic",
  "space_group": "F-43m (216)",
  "lattice": [[0.000, 3.249, 3.249], [3.249, 0.000, 3.249], [3.249, 3.249, 0.000]],
  "species": ["Mg", "Np", "Ir"],
  "fractional_positions": [[0.000, 0.000, 0.000], [0.500, 0.500, 0.500], [0.250, 0.250, 0.250]]
}



{
  "formula": "Mg2IrO4",
  "functional": "GGA-PBE",
  "state": "optimized geometry",
  "volume_a3_per_cell": 153.9,
  "dft_energy_ev_per_atom": -6.03,
  "crystal_system": "cubic",
  "space_group": "Fd-3m (227)",
  "lattice": [[0.000, 4.254, 4.254], [4.254, 0.000, 4.254], [4.254, 4.254, 0.000]],
  "species": ["Mg", "Mg", "Mg", "Mg", "Ir", "Ir", "O", "O", "O", "O", "O", "O", "O", "O"],
  "fractional_positions": [[0.000, 0.000, 0.000], [0.000, 0.000, 0.500], [0.000, 0.500, 0.000], [0.500, 0.000, 0.000], [0.375, 0.375, 0.375], [0.625, 0.625, 0.625], [0.225, 0.758, 0.758], [0.242, 0.242, 0.242], [0.242, 0.242, 0.775], [0.242, 0.775, 0.242], [0.758, 0.225, 0.758], [0.758, 0.758, 0.225], [0.758, 0.758, 0.758], [0.775, 0.242, 0.242]]
}



{
  "formula": "Mg2Ir2O5",
  "functional": "GGA-PBE",
  "state": "optimized geometry",
  "volume_a3_per_cell": 102.4,
  "dft_energy_ev_per_atom": -5.97,
  "crystal_system": "tetragonal",
  "space_group": "P4/mmm (123)",
  "lattice": [[3.880, 0.000, 0.000], [0.000, 3.880, 0.000], [0.000, 0.000, 6.803]],
  "species": ["Mg", "Mg", "Ir", "Ir", "O", "O", "O", "O", "O"],
  "fractional_positions": [[0.000, 0.000, 0.000], [0.000, 0.000, 0.500], [0.500, 0.500, 0.183], [0.500, 0.500, 0.817], [0.000, 0.500, 0.208], [0.000, 0.500, 0.792], [0.500, 0.000, 0.208], [0.500, 0.000, 0.792], [0.500, 0.500, 0.500]]
}



{
  "formula": "Mg2Ir2O5",
  "functional": "GGA-PBE",
  "state": "optimized geometry",
  "volume_a3_per_cell": 98.4,
  "dft_energy_ev_per_atom": -5.96,
  "crystal_system": "tetragonal",
  "space_group": "P4/mmm (123)",
  "lattice": [[3.436, 0.000, 0.000], [0.000, 3.436, 0.000], [0.000, 0.000, 8.336]],
  "species": ["Mg", "Mg", "Ir", "Ir", "O", "O", "O", "O", "O"],
  "fractional_positions": [[0.000, 0.000, 0.243], [0.000, 0.000, 0.757], [0.500, 0.500, 0.000], [0.500, 0.500, 0.500], [0.000, 0.000, 0.000], [0.000, 0.500, 0.359], [0.000, 0.500, 0.641], [0.500, 0.000, 0.359], [0.500, 0.000, 0.641]]
}



{
  "formula": "MgIr2PdO6",
  "functional": "GGA-PBE",
  "state": "optimized geometry",
  "volume_a3_per_cell": 112.3,
  "dft_energy_ev_per_atom": -6.43,
  "crystal_system": "orthorhombic",
  "space_group": "Cmmm (65)",
  "lattice": [[3.554, -4.956, 0.000], [3.554, 4.956, 0.000], [0.000, 0.000, 3.187]],
  "species": ["Mg", "Ir", "Ir", "Pd", "O", "O", "O", "O", "O", "O"],
  "fractional_positions": [[0.000, 0.000, 0.000], [0.000, 0.500, 0.500], [0.500, 0.000, 0.500], [0.500, 0.500, 0.000], [0.151, 0.849, 0.500], [0.160, 0.422, 0.000], [0.422, 0.160, 0.000], [0.578, 0.840, 0.000], [0.840, 0.578, 0.000], [0.849, 0.151, 0.500]]
}



{
  "formula": "Rb2MgIrO6",
  "functional": "GGA-PBE",
  "state": "optimized geometry",
  "volume_a3_per_cell": 127.7,
  "dft_energy_ev_per_atom": -5.44,
  "crystal_system": "cubic",
  "space_group": "Fm-3m (225)",
  "lattice": [[0.000, 3.997, 3.997], [3.997, 0.000, 3.997], [3.997, 3.997, 0.000]],
  "species": ["Rb", "Rb", "Mg", "Ir", "O", "O", "O", "O", "O", "O"],
  "fractional_positions": [[0.250, 0.250, 0.250], [0.750, 0.750, 0.750], [0.000, 0.000, 0.000], [0.500, 0.500, 0.500], [0.263, 0.263, 0.737], [0.263, 0.737, 0.263], [0.263, 0.737, 0.737], [0.737, 0.263, 0.263], [0.737, 0.263, 0.737], [0.737, 0.737, 0.263]]
}